This record from the Alexandria database describes a relaxed structure of SrBeIr. The functional is PBE-GGA.

Calculated values
Formation energy in eV per atom: -0.25
Polymorph energy (0 for the lowest one) in meV/atom: 166

Unit cell a=3.9217 b=3.9217 c=4.5836 alpha=90.00 beta=90.00 gamma=120.00
Space group P-6m2 (No. 187)
Unique sites:
Sr 0.0000 0.0000 0.0000 [1 per cell]
Be 0.6667 0.3333 0.5000 [1 per cell]
Ir 0.3333 0.6667 0.5000 [1 per cell]